1.
An optimized crystal structure of SrCa2Sb, computed with GGA-PBE.

Calculated values
As for the energy: -2.91 eV/atom. The crystal system is monoclinic. The value obtained for the formation energy without anion corrections is -176 kJ/mol of formula units.

Cell: 4.428 4.466 7.419 Å, 90.00 96.34 90.00°
Space group P2/m (No. 10)
Symmetry-distinct sites (fractional):
Sr  0.000  0.000  0.000 [1 per cell]
Ca  0.432  0.500  0.710 [2 per cell]
Sb  0.000  0.000  0.500 [1 per cell]

---

2.
An optimized crystal structure of AlPtRh, computed with GGA-PBE.

Calculated values
As for the energy relative to the elements: -0.62 eV per atom. As for the energy: -6.34 eV/atom. The crystal system is trigonal. The calculation puts the energy above the most stable polymorph in this dataset at 10.8 kJ/mol of atoms.

Cell: 2.8448 2.8448 6.2718 Å, 90.00 90.00 120.00°
Space group P3m1 (No. 156)
Symmetry-distinct sites (fractional):
Al  0.0000  0.0000  0.0000 [1 per cell]
Pt  0.6667  0.3333  0.3194 [1 per cell]
Rh  0.3333  0.6667  0.6995 [1 per cell]

---

3.
An optimized crystal structure of PrThSn2, computed with GGA-PBE.

Calculated values
As for the energy relative to the elements: -0.58 eV per atom. As for the energy: -5.63 eV/atom. The crystal system is tetragonal. The calculation puts the energy above the most stable polymorph in this dataset at 8.3 kJ/mol of atoms.

Cell: 5.047 5.047 4.529 Å, 90.00 90.00 90.00°
Space group P4/mmm (No. 123)
Symmetry-distinct sites (fractional):
Pr  0.000  0.000  0.000 [1 per cell]
Th  0.500  0.500  0.000 [1 per cell]
Sn  0.000  0.500  0.500 [2 per cell]

---

4.
An optimized crystal structure of LiNd2Ga4Cu3, computed with GGA-PBE.

Calculated values
As for the energy relative to the elements: -0.42 eV per atom. As for the energy: -4.00 eV/atom. The crystal system is tetragonal.

Cell: 4.264 4.264 10.109 Å, 90.00 90.00 90.00°
Space group P-4m2 (No. 115)
Symmetry-distinct sites (fractional):
Li  0.000  0.000  0.000 [1 per cell]
Nd  0.000  0.500  0.750 [2 per cell]
Ga  0.000  0.000  0.500 [1 per cell]
Ga  0.000  0.500  0.132 [2 per cell]
Ga  0.500  0.500  0.500 [1 per cell]
Cu  0.000  0.500  0.371 [2 per cell]
Cu  0.500  0.500  0.000 [1 per cell]

---

5.
An optimized crystal structure of Ni2Te3Pt, computed with GGA-PBE.

Calculated values
As for the energy: -4.61 eV/atom. The crystal system is monoclinic. The value obtained for the formation energy without anion corrections is -61 kJ/mol of formula units.

Cell: 8.202 11.459 11.967 Å, 90.00 107.24 90.00°
Space group C2 (No. 5)
Symmetry-distinct sites (fractional):
Ni  0.000  0.000  0.000 [2 per cell]
Ni  0.000  0.154  0.500 [2 per cell]
Ni  0.000  0.560  0.000 [2 per cell]
Ni  0.000  0.754  0.500 [2 per cell]
Ni  0.172  0.471  0.342 [4 per cell]
Ni  0.229  0.255  0.868 [4 per cell]
Te  0.009  0.395  0.145 [4 per cell]
Te  0.052  0.877  0.176 [4 per cell]
Te  0.085  0.584  0.639 [4 per cell]
Te  0.136  0.114  0.707 [4 per cell]
Te  0.203  0.306  0.475 [4 per cell]
Te  0.242  0.142  0.045 [4 per cell]
Pt  0.134  0.975  0.388 [4 per cell]
Pt  0.204  0.776  0.758 [4 per cell]

---

6.
An optimized crystal structure of AcPmZnRh, computed with GGA-PBE.

Calculated values
As for the energy relative to the elements: -0.47 eV per atom. As for the energy: -4.84 eV/atom. The crystal system is orthorhombic. The calculation puts the energy above the most stable polymorph in this dataset at 0.0 kJ/mol of atoms.

Cell: 4.572 4.185 10.991 Å, 90.00 90.00 90.00°
Space group Amm2 (No. 38)
Symmetry-distinct sites (fractional):
Ac  0.000  0.000  0.000 [2 per cell]
Pm  0.500  0.000  0.719 [2 per cell]
Zn  0.500  0.000  0.419 [2 per cell]
Rh  0.000  0.000  0.283 [2 per cell]

---

7.
An optimized crystal structure of HfTlAu, computed with GGA-PBE.

Calculated values
As for the energy relative to the elements: 1.39 eV per atom. As for the energy: -3.81 eV/atom. The crystal system is hexagonal.

Cell: 4.5795 4.5795 11.1864 Å, 90.00 90.00 120.00°
Space group P6_3/mmc (No. 194)
Symmetry-distinct sites (fractional):
Hf  0.0000  0.0000  0.0000 [2 per cell]
Tl  0.0000  0.0000  0.2500 [2 per cell]
Au  0.3333  0.6667  0.2500 [2 per cell]

---

8.
An optimized crystal structure of K2Cd2Cl, computed with GGA-PBE.

Calculated values
As for the energy: -1.72 eV/atom. The crystal system is tetragonal. The calculation puts the energy above the most stable polymorph in this dataset at 18.9 kJ/mol of atoms. The value obtained for the formation energy without anion corrections is -263 kJ/mol of formula units.

Cell: 8.396 8.396 5.986 Å, 90.00 90.00 90.00°
Space group P4/mbm (No. 127)
Symmetry-distinct sites (fractional):
K  0.189  0.311  0.000 [4 per cell]
Cd  0.128  0.628  0.500 [4 per cell]
Cl  0.000  0.000  0.000 [2 per cell]

---

9.
An optimized crystal structure of HfTiGa, computed with GGA-PBE.

Calculated values
As for the energy relative to the elements: -0.38 eV per atom. As for the energy: -7.34 eV/atom. The crystal system is hexagonal. The calculation puts the energy above the most stable polymorph in this dataset at 0.0 kJ/mol of atoms.

Cell: 4.6238 4.6238 5.7688 Å, 90.00 90.00 120.00°
Space group P6_3/mmc (No. 194)
Symmetry-distinct sites (fractional):
Hf  0.0000  0.0000  0.0000 [2 per cell]
Ti  0.3333  0.6667  0.2500 [2 per cell]
Ga  0.3333  0.6667  0.7500 [2 per cell]

---

10.
An optimized crystal structure of LaYZnSi, computed with GGA-PBE.

Calculated values
As for the energy: -4.99 eV/atom. The crystal system is cubic. The value obtained for the formation energy without anion corrections is -180 kJ/mol of formula units.

Cell: 7.249 7.249 7.249 Å, 90.00 90.00 90.00°
Space group F-43m (No. 216)
Symmetry-distinct sites (fractional):
La  0.000  0.000  0.000 [4 per cell]
Y  0.000  0.000  0.500 [4 per cell]
Zn  0.250  0.250  0.750 [4 per cell]
Si  0.250  0.250  0.250 [4 per cell]

---

11.
An optimized crystal structure of Ac3GaGe6Au2, computed with GGA-PBE.

Calculated values
As for the energy relative to the elements: -0.38 eV per atom. As for the energy: -4.51 eV/atom. The crystal system is trigonal.

Cell: 6.2100 6.2100 9.0195 Å, 90.00 90.00 120.00°
Space group P-3m1 (No. 164)
Symmetry-distinct sites (fractional):
Ac  0.0000  0.0000  0.0000 [1 per cell]
Ac  0.3333  0.6667  0.6339 [2 per cell]
Ga  0.0000  0.0000  0.5000 [1 per cell]
Ge  0.1943  0.3885  0.2811 [6 per cell]
Au  0.3333  0.6667  0.0019 [2 per cell]

---

12.
An optimized crystal structure of AcLa7Er3, computed with GGA-PBE.

Calculated values
As for the energy relative to the elements: 0.19 eV per atom. As for the energy: -4.57 eV/atom. The crystal system is trigonal. The calculation puts the energy above the most stable polymorph in this dataset at 0.0 kJ/mol of atoms.

Cell: 7.3822 7.3822 8.6204 Å, 90.00 90.00 120.00°
Space group P3m1 (No. 156)
Symmetry-distinct sites (fractional):
Ac  0.0000  0.0000  0.0000 [1 per cell]
La  0.3333  0.6667  0.7015 [1 per cell]
La  0.3431  0.1715  0.6620 [3 per cell]
La  0.5030  0.0060  0.0382 [3 per cell]
Er  0.1680  0.3360  0.3531 [3 per cell]